No. 1
A relaxed structure of Ru4Pb3. Source: the Alexandria database, functional GGA-PBE.

Results
**Density of states at the Fermi level**: 11.01 states/eV/f.u.
**Space-group type**: No. 191
**Electronic total energy**: -0.2091 hartree per atom
**Relative energy among the computed polymorphs**: 0.787 eV/atom

Cell and atoms, written as POSCAR:
```
Ru4Pb3
1.0
6.097 0.000 0.000
-3.049 5.280 0.000
0.000 0.000 4.544
Ru Pb
4 3
Direct
0.000 0.000 0.249 Ru
0.000 0.000 0.751 Ru
0.333 0.667 0.000 Ru
0.667 0.333 0.000 Ru
0.000 0.500 0.500 Pb
0.500 0.000 0.500 Pb
0.500 0.500 0.500 Pb
```


No. 2
A relaxed structure of RuPb. Source: the Alexandria database, functional GGA-PBE.

Results
**Density of states at the Fermi level**: 2.14 states/eV/f.u.
**Space-group type**: No. 38
**Electronic total energy**: -0.2233 hartree per atom

Cell and atoms, written as POSCAR:
```
RuPb
1.0
3.109 0.000 0.000
0.000 6.123 3.284
0.000 -6.123 3.284
Ru Pb
3 3
Direct
0.000 0.000 0.000 Ru
0.500 0.143 0.370 Ru
0.500 0.370 0.143 Ru
0.000 0.179 0.730 Pb
0.000 0.730 0.179 Pb
0.500 0.625 0.625 Pb
```


No. 3
A relaxed structure of RuPb. Source: the Alexandria database, functional GGA-PBE.

Results
**Density of states at the Fermi level**: 1.39 states/eV/f.u.
**Space-group type**: No. 19
**Electronic total energy**: -0.2218 hartree per atom

Cell and atoms, written as POSCAR:
```
RuPb
1.0
6.318 0.000 0.000
0.000 6.765 0.000
0.000 0.000 7.990
Ru Pb
8 8
Direct
0.050 0.057 0.076 Ru
0.176 0.840 0.354 Ru
0.324 0.160 0.854 Ru
0.450 0.943 0.576 Ru
0.550 0.443 0.924 Ru
0.676 0.660 0.646 Ru
0.824 0.340 0.146 Ru
0.950 0.557 0.424 Ru
0.089 0.804 0.727 Pb
0.148 0.600 0.067 Pb
0.352 0.400 0.567 Pb
0.411 0.196 0.227 Pb
0.589 0.696 0.273 Pb
0.648 0.900 0.933 Pb
0.852 0.100 0.433 Pb
0.911 0.304 0.773 Pb
```


No. 4
A relaxed structure of RuPb. Source: the Alexandria database, functional GGA-PBE.

Results
**Density of states at the Fermi level**: 1.15 states/eV/f.u.
**Space-group type**: No. 194
**Electronic total energy**: -0.2038 hartree per atom

Cell and atoms, written as POSCAR:
```
RuPb
1.0
4.667 0.000 0.000
-2.333 4.041 0.000
0.000 0.000 5.400
Ru Pb
2 2
Direct
0.333 0.667 0.250 Ru
0.667 0.333 0.750 Ru
0.333 0.667 0.750 Pb
0.667 0.333 0.250 Pb
```


No. 5
A relaxed structure of RuPb. Source: the Alexandria database, functional GGA-PBE.

Results
**Density of states at the Fermi level**: 1.80 states/eV/f.u.
**Space-group type**: No. 70
**Electronic total energy**: -0.2160 hartree per atom

Cell and atoms, written as POSCAR:
```
RuPb
1.0
0.000 4.275 6.888
2.968 0.000 6.888
2.968 4.275 0.000
Ru Pb
4 4
Direct
0.039 0.039 0.211 Ru
0.211 0.211 0.039 Ru
0.789 0.789 0.961 Ru
0.961 0.961 0.789 Ru
0.196 0.554 0.196 Pb
0.446 0.804 0.446 Pb
0.554 0.196 0.554 Pb
0.804 0.446 0.804 Pb
```


No. 6
A relaxed structure of RuPb5. Source: the Alexandria database, functional GGA-PBE.

Results
**Density of states at the Fermi level**: 4.26 states/eV/f.u.
**Space-group type**: No. 123
**Electronic total energy**: -0.1634 hartree per atom
**Relative energy among the computed polymorphs**: 0.000 eV/atom

Cell and atoms, written as POSCAR:
```
RuPb5
1.0
3.435 0.000 0.000
0.000 3.435 0.000
0.000 0.000 13.716
Ru Pb
1 5
Direct
0.000 0.000 0.000 Ru
0.000 0.000 0.318 Pb
0.000 0.000 0.682 Pb
0.500 0.500 0.122 Pb
0.500 0.500 0.500 Pb
0.500 0.500 0.878 Pb
```


No. 7
A relaxed structure of RuPb5. Source: the Alexandria database, functional GGA-PBE.

Results
**Density of states at the Fermi level**: 4.28 states/eV/f.u.
**Space-group type**: No. 12
**Electronic total energy**: -0.1628 hartree per atom
**Relative energy among the computed polymorphs**: 0.016 eV/atom

Cell and atoms, written as POSCAR:
```
RuPb5
1.0
6.241 -1.682 0.000
6.241 1.682 0.000
-3.338 0.000 7.978
Ru Pb
1 5
Direct
0.000 0.000 0.000 Ru
0.000 0.000 0.500 Pb
0.342 0.342 0.723 Pb
0.368 0.368 0.134 Pb
0.632 0.632 0.866 Pb
0.658 0.658 0.277 Pb
```


No. 8
A relaxed structure of RuPb. Source: the Alexandria database, functional GGA-PBE.

Results
**Density of states at the Fermi level**: 2.16 states/eV/f.u.
**Space-group type**: No. 166
**Electronic total energy**: -0.2164 hartree per atom

Cell and atoms, written as POSCAR:
```
RuPb
1.0
1.652 0.954 4.138
-1.652 0.954 4.138
0.000 -1.908 4.138
Ru Pb
1 1
Direct
0.000 0.000 0.000 Ru
0.500 0.500 0.500 Pb
```


No. 9
A relaxed structure of RuPb. Source: the Alexandria database, functional GGA-PBE.

Results
**Density of states at the Fermi level**: 0.61 states/eV/f.u.
**Space-group type**: No. 225
**Electronic total energy**: -0.2103 hartree per atom

Cell and atoms, written as POSCAR:
```
RuPb
1.0
0.000 2.751 2.751
2.751 0.000 2.751
2.751 2.751 0.000
Ru Pb
1 1
Direct
0.000 0.000 0.000 Ru
0.500 0.500 0.500 Pb
```


No. 10
A relaxed structure of RuPb3. Source: the Alexandria database, functional GGA-PBE.

Results
**Density of states at the Fermi level**: 2.57 states/eV/f.u.
**Space-group type**: No. 194
**Electronic total energy**: -0.1739 hartree per atom
**Relative energy among the computed polymorphs**: 0.128 eV/atom

Cell and atoms, written as POSCAR:
```
RuPb3
1.0
9.056 0.000 0.000
-4.528 7.843 0.000
0.000 0.000 3.336
Ru Pb
2 6
Direct
0.333 0.667 0.250 Ru
0.667 0.333 0.750 Ru
0.192 0.383 0.750 Pb
0.192 0.808 0.750 Pb
0.383 0.192 0.250 Pb
0.617 0.808 0.750 Pb
0.808 0.192 0.250 Pb
0.808 0.617 0.250 Pb
```


No. 11
A relaxed structure of RuPb3. Source: the Alexandria database, functional GGA-PBE.

Results
**Density of states at the Fermi level**: 3.42 states/eV/f.u.
**Space-group type**: No. 25
**Electronic total energy**: -0.1676 hartree per atom
**Relative energy among the computed polymorphs**: 0.298 eV/atom

Cell and atoms, written as POSCAR:
```
RuPb3
1.0
3.446 0.000 0.000
0.000 4.896 0.000
0.000 0.000 6.352
Ru Pb
1 3
Direct
0.000 0.000 0.000 Ru
0.000 0.500 0.794 Pb
0.500 0.000 0.618 Pb
0.500 0.500 0.227 Pb
```


No. 12
A relaxed structure of Ru3Pb. Source: the Alexandria database, functional GGA-PBE.

Results
**Density of states at the Fermi level**: 5.83 states/eV/f.u.
**Space-group type**: No. 65
**Electronic total energy**: -0.2670 hartree per atom

Cell and atoms, written as POSCAR:
```
Ru3Pb
1.0
2.896 -3.818 0.000
2.896 3.818 0.000
0.000 0.000 2.925
Ru Pb
3 1
Direct
0.000 0.000 0.000 Ru
0.000 0.500 0.500 Ru
0.500 0.000 0.500 Ru
0.500 0.500 0.000 Pb
```